Record 1
First-principles (PBE-GGA) data for a geometry-optimized AcFeCoGe2 structure, as listed in the Alexandria database.

```
AcFeCoGe2
1.0
-1.7651 3.6981 0.6076
-3.7430 -1.7732 -0.0808
2.9967 -1.7154 5.0244
Ac Fe Co Ge
1 1 1 2
Cartesian
0.0000 0.0000 0.0000
-0.7612 1.4726 2.9477
-1.7502 -1.2631 2.6035
-2.6841 0.7453 1.7886
0.1726 -0.5358 3.7626
```

Its total energy is -31.21 eV for the cell shown. Its volume is 18.4 Å³ per atom. The density of states at the Fermi level is 0.628 states/eV per atom. As for the crystal system: tetragonal. Its energy of formation from the pure elements is -461 meV per atom.

=====

Record 2
First-principles (PBE-GGA) data for a geometry-optimized La2Ge2Ir structure, as listed in the Alexandria database.

```
La2Ge2Ir
1.0
-1.6155 3.1784 -5.8318
-6.2260 -2.8148 0.1905
-1.6252 3.7642 2.5018
Ge Ir La
4 2 4
Cartesian
-5.9698 -1.2749 -1.9599
-5.3540 0.9579 -4.9194
-1.8717 1.6386 -3.6813
-2.4874 -0.5942 -0.7219
0.0000 0.0000 0.0000
-3.9207 0.1818 -2.8206
-5.2941 0.5382 0.3616
-7.0417 1.7025 -2.5255
-4.1725 3.5897 -3.5011
-2.4250 2.4254 -0.6140
```

Its total energy is -63.67 eV for the cell shown. Its volume is 22.4 Å³ per atom. The density of states at the Fermi level is 1.184 states/eV per atom. As for the crystal system: tetragonal. Its energy of formation from the pure elements is -777 meV per atom.

=====

Record 3
First-principles (PBE-GGA) data for a geometry-optimized Sr2LiTcO structure, as listed in the Alexandria database.

```
Sr2LiTcO
1.0
-1.0931 5.3345 0.1890
-0.9302 -0.3247 3.7851
5.1782 1.0129 1.3595
Sr Tc O Li
2 1 1 1
Cartesian
2.5891 0.5065 0.6798
-0.5466 2.6673 0.0945
-0.4651 -0.1624 1.8925
0.0000 0.0000 0.0000
1.5774 3.0114 2.6668
```

Its total energy is -23.43 eV for the cell shown. As for the formation energy from raw total energies: -0.5655 eV per atom. Its volume is 23.2 Å³ per atom. The density of states at the Fermi level is 0.641 states/eV per atom. As for the crystal system: tetragonal.

=====

Record 4
First-principles (PBE-GGA) data for a geometry-optimized TcSnCl6 structure, as listed in the Alexandria database.

```
TcSnCl6
1.0
6.7948 0.1597 -0.0608
2.0454 6.4816 -0.0608
-0.2910 -0.2186 9.9891
Tc Sn Cl
2 2 12
Cartesian
0.8772 3.1315 4.9642
3.3974 0.0799 -0.0304
2.0857 6.2763 2.4365
6.4633 0.1463 7.4310
2.8208 3.8743 3.8228
5.7283 2.5483 6.0447
4.1881 4.9015 1.0502
4.3610 1.5211 8.8173
6.6264 2.9458 2.8307
1.9227 3.4768 7.0368
4.0202 0.9879 2.0422
4.5289 5.4348 7.8253
1.0928 1.1569 9.9060
7.4562 5.2657 -0.0385
6.9881 5.5858 4.9561
1.5610 0.8368 4.9114
```

Its total energy is -63.59 eV for the cell shown. As for the formation energy from raw total energies: -0.7930 eV per atom. Its volume is 27.3 Å³ per atom. As for the crystal system: monoclinic.

=====

Record 5
First-principles (PBE-GGA) data for a geometry-optimized CsKPb3 structure, as listed in the Alexandria database.

```
CsKPb3
1.0
6.4998 0.0000 0.0000
0.0000 6.4998 0.0000
0.0000 0.0000 6.4998
Pb Cs K
3 1 1
Cartesian
0.0000 3.2499 0.0000
0.0000 0.0000 3.2499
3.2499 0.0000 0.0000
0.0000 0.0000 0.0000
3.2499 3.2499 3.2499
```

Its total energy is -8.97 eV for the cell shown. Its volume is 54.9 Å³ per atom. The density of states at the Fermi level is 1.169 states/eV per atom. As for the relative energy among the computed polymorphs: 142 kJ/mol of formula units. As for the crystal system: cubic. Its energy of formation from the pure elements is 821 meV per atom.

=====

Record 6
First-principles (PBE-GGA) data for a geometry-optimized Sc8Zn2Pt structure, as listed in the Alexandria database.

```
Sc8Zn2Pt
1.0
4.7795 0.0000 0.0000
0.0000 6.4464 0.0062
-2.3897 -2.7557 7.5926
Sc Zn Pt
8 2 1
Cartesian
0.0000 1.3197 6.1909
2.3897 5.3099 2.4968
2.3897 2.8430 4.6061
2.3897 -1.1956 7.2455
0.0000 0.8477 2.9927
0.0000 -1.6192 5.1020
2.3897 2.3710 1.4078
0.0000 4.8863 0.3532
2.3897 0.1653 4.8581
0.0000 3.5254 2.7406
2.3897 0.0000 0.0000
```

Its total energy is -63.19 eV for the cell shown. Its volume is 21.3 Å³ per atom. The density of states at the Fermi level is 1.075 states/eV per atom. As for the crystal system: monoclinic. Its energy of formation from the pure elements is -359 meV per atom.

=====

Record 7
First-principles (PBE-GGA) data for a geometry-optimized Ho2SiIr structure, as listed in the Alexandria database.

```
Ho2SiIr
1.0
4.1167 0.0000 0.0000
0.0000 5.6249 -0.0805
0.0000 -2.9119 7.5687
Ho Si Ir
4 2 2
Cartesian
3.0875 0.0260 3.1157
1.0292 2.6870 4.3725
1.0292 4.2576 0.4067
3.0875 -1.5446 7.0815
3.0875 2.8218 2.1390
1.0292 -0.1088 5.3493
1.0292 1.4647 1.6276
3.0875 1.2483 5.8607
```

Its total energy is -53.79 eV for the cell shown. As for the formation energy from raw total energies: -0.8640 eV per atom. Its volume is 21.8 Å³ per atom. The density of states at the Fermi level is 0.644 states/eV per atom. As for the crystal system: monoclinic.

=====

Record 8
First-principles (PBE-GGA) data for a geometry-optimized KTlH2 structure, as listed in the Alexandria database.

```
KTlH2
1.0
3.5420 -2.1466 2.3031
-0.9427 -3.4455 3.1141
1.1153 -4.4904 -1.0248
H Tl K
2 1 1
Cartesian
0.9286 -2.5206 1.0981
2.7859 -7.5619 3.2943
1.8573 -5.0412 2.1962
0.0000 0.0000 0.0000
```

Its total energy is -9.50 eV for the cell shown. Its volume is 18.8 Å³ per atom. The density of states at the Fermi level is 0.000 states/eV per atom. As for the relative energy among the computed polymorphs: 15 kJ/mol of formula units. As for the crystal system: cubic.

=====

Record 9
First-principles (PBE-GGA) data for a geometry-optimized Er6Tm2Mg structure, as listed in the Alexandria database.

```
Er6Tm2Mg
1.0
-1.5427 -3.6601 2.9731
8.3426 -5.6165 -2.5856
5.2736 4.1955 7.9002
Er Tm Mg
12 4 2
Cartesian
-0.6676 -2.9650 4.2826
8.1917 -1.6421 2.2300
9.9553 -0.2460 4.8638
4.1332 0.0322 6.3209
5.8855 1.4340 8.9559
5.1631 -3.2374 2.8328
12.7411 -2.1160 4.0050
3.8819 -3.4389 6.0577
2.1182 -4.8350 3.4238
7.9403 -5.1132 1.9668
6.1880 -6.5150 -0.6682
6.9104 -1.8436 5.4549
5.6265 -2.0342 8.6915
9.6948 -3.7089 4.6055
2.3788 -1.3721 3.6821
6.4470 -3.0468 -0.4038
3.4000 -4.6383 0.1937
2.6368 2.0978 3.9501
```

Its total energy is -75.32 eV for the cell shown. Its volume is 29.7 Å³ per atom. The density of states at the Fermi level is 1.453 states/eV per atom. As for the relative energy among the computed polymorphs: 0 kJ/mol of formula units. As for the crystal system: tetragonal. Its energy of formation from the pure elements is 28 meV per atom.

=====

Record 10
First-principles (PBE-GGA) data for a geometry-optimized Ca2AsPd7 structure, as listed in the Alexandria database.

```
Ca2AsPd7
1.0
6.8029 0.0000 0.0000
3.4015 5.8915 0.0000
3.4015 1.9638 5.5546
Ca As Pd
2 1 7
Cartesian
3.4015 1.9638 1.3886
10.2044 5.8915 4.1659
0.0000 0.0000 0.0000
6.8029 3.9277 2.7773
6.8029 5.9796 4.2282
5.0259 4.9537 1.3263
8.5800 2.9017 4.2282
8.5800 4.9537 1.3263
5.0259 2.9017 4.2282
6.8029 1.8757 1.3263
```

Its total energy is -46.59 eV for the cell shown. Its volume is 22.3 Å³ per atom. The density of states at the Fermi level is 0.946 states/eV per atom. As for the crystal system: cubic. Its energy of formation from the pure elements is -159 meV per atom.

=====

Record 11
First-principles (PBE-GGA) data for a geometry-optimized Hf2TaTlO8 structure, as listed in the Alexandria database.

```
Hf2TaTlO8
1.0
4.8780 -0.0398 -0.0030
-0.0098 4.8738 -0.0053
0.0042 0.0073 6.5892
Hf Ta Tl O
2 1 1 8
Cartesian
2.4372 2.4224 4.9578
2.4352 2.4188 1.6230
0.0000 0.0000 0.0000
0.0021 0.0037 3.2946
0.9680 3.8865 1.4272
3.4174 3.4024 6.5832
3.9018 0.9504 1.4285
3.9044 0.9548 5.1536
1.4550 1.4388 -0.0024
0.9706 3.8909 5.1523
3.3231 3.3084 3.2889
1.5493 1.5328 3.2919
```

Its total energy is -106.26 eV for the cell shown. As for the formation energy from raw total energies: -2.7059 eV per atom. Its volume is 13.1 Å³ per atom. The density of states at the Fermi level is 0.000 states/eV per atom. As for the crystal system: monoclinic.

=====

Record 12
First-principles (PBE-GGA) data for a geometry-optimized NpSiPd structure, as listed in the Alexandria database.

```
NpSiPd
1.0
4.6972 0.0012 0.0019
-2.3458 4.9046 -0.1748
-2.3466 -1.7402 4.5886
Np Si Pd
2 2 2
Cartesian
-0.0004 0.7987 1.1145
0.0052 2.3669 3.3012
0.0027 3.8416 0.5885
0.0021 -0.6760 3.8272
2.3510 2.7261 1.3894
-2.3461 0.4395 3.0263
```

Its total energy is -49.66 eV for the cell shown. As for the formation energy from raw total energies: -0.4243 eV per atom. Its volume is 17.4 Å³ per atom. The density of states at the Fermi level is 1.478 states/eV per atom. As for the crystal system: monoclinic.